(1)
Dy12HoEr3: relaxed, PBE-GGA.

Summary:
total magnetization	0.00	μB per formula unit
DFT formation energy	0.019	eV per atom
DOS at the Fermi energy	20.6	states/eV/f.u.
uncorrected energy	-4.57	eV/atom

Lattice parameters (Å, degrees): 4.988 4.988 19.942 90.00 90.00 90.00
Positions (direct):
Dy (0.000, 0.000, 0.000)
Dy (0.000, 0.000, 0.250)
Dy (0.000, 0.000, 0.500)
Dy (0.000, 0.000, 0.750)
Dy (0.000, 0.500, 0.125)
Dy (0.000, 0.500, 0.375)
Dy (0.000, 0.500, 0.625)
Dy (0.000, 0.500, 0.875)
Dy (0.500, 0.000, 0.125)
Dy (0.500, 0.000, 0.375)
Dy (0.500, 0.000, 0.625)
Dy (0.500, 0.000, 0.875)
Ho (0.500, 0.500, 0.000)
Er (0.500, 0.500, 0.250)
Er (0.500, 0.500, 0.500)
Er (0.500, 0.500, 0.750)


(2)
DyHo3Er12: relaxed, PBE-GGA.

Summary:
total magnetization	0.00	μB per formula unit
DFT formation energy	0.022	eV per atom
DOS at the Fermi energy	20.7	states/eV/f.u.
uncorrected energy	-4.55	eV/atom

Lattice parameters (Å, degrees): 4.956 4.956 19.811 90.00 90.00 90.00
Positions (direct):
Dy (0.000, 0.000, 0.000)
Ho (0.000, 0.000, 0.250)
Ho (0.000, 0.000, 0.500)
Ho (0.000, 0.000, 0.750)
Er (0.000, 0.500, 0.125)
Er (0.000, 0.500, 0.375)
Er (0.000, 0.500, 0.625)
Er (0.000, 0.500, 0.875)
Er (0.500, 0.000, 0.125)
Er (0.500, 0.000, 0.375)
Er (0.500, 0.000, 0.625)
Er (0.500, 0.000, 0.875)
Er (0.500, 0.500, 0.000)
Er (0.500, 0.500, 0.250)
Er (0.500, 0.500, 0.500)
Er (0.500, 0.500, 0.750)


(3)
DyHo3Er6: relaxed, PBE-GGA.

Summary:
ΔE to the lowest computed polymorph	0.23	eV/f.u.
total magnetization	0.01	μB per formula unit
DFT formation energy	0.149	eV per atom
DOS at the Fermi energy	14.4	states/eV/f.u.
uncorrected energy	-4.42	eV/atom

Lattice parameters (Å, degrees): 10.830 10.830 6.113 90.00 90.00 119.70
Positions (direct):
Dy (0.208, 0.792, 0.500)
Dy (0.792, 0.208, 0.000)
Ho (0.062, 0.280, 0.695)
Ho (0.280, 0.062, 0.195)
Ho (0.391, 0.609, 0.581)
Ho (0.609, 0.391, 0.081)
Ho (0.720, 0.938, 0.695)
Ho (0.938, 0.720, 0.195)
Er (0.039, 0.460, 0.290)
Er (0.048, 0.952, 0.732)
Er (0.284, 0.716, 0.010)
Er (0.289, 0.382, 0.119)
Er (0.382, 0.289, 0.619)
Er (0.460, 0.039, 0.790)
Er (0.540, 0.961, 0.290)
Er (0.618, 0.711, 0.119)
Er (0.711, 0.618, 0.619)
Er (0.716, 0.284, 0.510)
Er (0.952, 0.048, 0.232)
Er (0.961, 0.540, 0.790)


(4)
Dy5Ho4Er4: relaxed, PBE-GGA.

Summary:
total magnetization	0.00	μB per formula unit
DFT formation energy	0.019	eV per atom
DOS at the Fermi energy	17.0	states/eV/f.u.
uncorrected energy	-4.56	eV/atom

Lattice parameters (Å, degrees): 9.304 9.304 9.304 94.09 94.09 149.03
Positions (direct):
Dy (0.000, 0.000, 0.000)
Dy (0.307, 0.539, 0.846)
Dy (0.461, 0.307, 0.769)
Dy (0.539, 0.693, 0.231)
Dy (0.693, 0.461, 0.154)
Ho (0.154, 0.769, 0.923)
Ho (0.231, 0.154, 0.385)
Ho (0.769, 0.846, 0.615)
Ho (0.846, 0.231, 0.077)
Er (0.077, 0.385, 0.462)
Er (0.385, 0.923, 0.308)
Er (0.615, 0.077, 0.692)
Er (0.923, 0.615, 0.538)


(5)
Dy3HoEr: relaxed, PBE-GGA.

Summary:
ΔE to the lowest computed polymorph	0.00	eV/f.u.
total magnetization	0.00	μB per formula unit
DFT formation energy	0.003	eV per atom
DOS at the Fermi energy	7.9	states/eV/f.u.
uncorrected energy	-4.59	eV/atom

Lattice parameters (Å, degrees): 6.243 5.583 9.542 90.00 109.08 90.00
Positions (direct):
Dy (0.133, 0.250, 0.100)
Dy (0.267, 0.750, 0.701)
Dy (0.333, 0.250, 0.500)
Dy (0.667, 0.750, 0.500)
Dy (0.733, 0.250, 0.299)
Dy (0.867, 0.750, 0.900)
Ho (0.066, 0.750, 0.300)
Ho (0.934, 0.250, 0.700)
Er (0.467, 0.750, 0.100)
Er (0.533, 0.250, 0.900)


(6)
Dy4Ho2Er: relaxed, PBE-GGA.

Summary:
ΔE to the lowest computed polymorph	0.95	eV/f.u.
total magnetization	0.00	μB per formula unit
DFT formation energy	0.140	eV per atom
DOS at the Fermi energy	11.8	states/eV/f.u.
uncorrected energy	-4.45	eV/atom

Lattice parameters (Å, degrees): 6.074 6.500 11.436 90.00 104.87 90.00
Positions (direct):
Dy (0.030, 0.250, 0.360)
Dy (0.150, 0.250, 0.945)
Dy (0.347, 0.505, 0.212)
Dy (0.347, 0.995, 0.212)
Dy (0.653, 0.005, 0.788)
Dy (0.653, 0.495, 0.788)
Dy (0.850, 0.750, 0.055)
Dy (0.970, 0.750, 0.640)
Ho (0.287, 0.750, 0.925)
Ho (0.394, 0.750, 0.504)
Ho (0.606, 0.250, 0.496)
Ho (0.713, 0.250, 0.075)
Er (0.155, 0.250, 0.661)
Er (0.845, 0.750, 0.339)


(7)
Dy2HoEr: relaxed, PBE-GGA.

Summary:
ΔE to the lowest computed polymorph	0.05	eV/f.u.
total magnetization	0.00	μB per formula unit
DFT formation energy	0.022	eV per atom
DOS at the Fermi energy	5.9	states/eV/f.u.
uncorrected energy	-4.56	eV/atom

Lattice parameters (Å, degrees): 4.982 4.982 4.976 90.00 90.00 90.00
Positions (direct):
Dy (0.000, 0.500, 0.000)
Dy (0.500, 0.000, 0.000)
Ho (0.000, 0.000, 0.500)
Er (0.500, 0.500, 0.500)


(8)
Dy10Ho4Er: relaxed, PBE-GGA.

Summary:
total magnetization	0.00	μB per formula unit
DFT formation energy	0.724	eV per atom
DOS at the Fermi energy	15.5	states/eV/f.u.
uncorrected energy	-3.87	eV/atom

Lattice parameters (Å, degrees): 9.344 9.344 9.344 99.59 99.59 131.82
Positions (direct):
Dy (0.050, 0.151, 0.700)
Dy (0.151, 0.450, 0.101)
Dy (0.250, 0.750, 0.500)
Dy (0.350, 0.050, 0.899)
Dy (0.450, 0.350, 0.300)
Dy (0.550, 0.650, 0.700)
Dy (0.650, 0.950, 0.101)
Dy (0.750, 0.250, 0.500)
Dy (0.849, 0.550, 0.899)
Dy (0.950, 0.849, 0.300)
Ho (0.100, 0.300, 0.400)
Ho (0.300, 0.900, 0.199)
Ho (0.700, 0.100, 0.801)
Ho (0.900, 0.700, 0.600)
Er (0.500, 0.500, 0.000)


(9)
Dy2HoEr9: relaxed, PBE-GGA.

Summary:
ΔE to the lowest computed polymorph	0.42	eV/f.u.
total magnetization	0.00	μB per formula unit
DFT formation energy	0.058	eV per atom
DOS at the Fermi energy	19.8	states/eV/f.u.
uncorrected energy	-4.51	eV/atom

Lattice parameters (Å, degrees): 11.077 11.077 3.462 90.00 90.00 120.00
Positions (direct):
Dy (0.333, 0.667, 0.000)
Dy (0.667, 0.333, 0.000)
Ho (0.000, 0.000, 0.000)
Er (0.000, 0.500, 0.000)
Er (0.176, 0.352, 0.500)
Er (0.176, 0.824, 0.500)
Er (0.352, 0.176, 0.500)
Er (0.500, 0.000, 0.000)
Er (0.500, 0.500, 0.000)
Er (0.648, 0.824, 0.500)
Er (0.824, 0.176, 0.500)
Er (0.824, 0.648, 0.500)


(10)
Dy2Ho12Er5: relaxed, PBE-GGA.

Summary:
ΔE to the lowest computed polymorph	0.71	eV/f.u.
total magnetization	0.00	μB per formula unit
DFT formation energy	0.129	eV per atom
DOS at the Fermi energy	28.2	states/eV/f.u.
uncorrected energy	-4.45	eV/atom

Lattice parameters (Å, degrees): 9.031 9.031 8.429 90.91 90.91 60.56
Positions (direct):
Dy (0.179, 0.821, 0.000)
Dy (0.821, 0.179, 0.000)
Ho (0.058, 0.058, 0.334)
Ho (0.066, 0.680, 0.339)
Ho (0.163, 0.527, 0.757)
Ho (0.320, 0.934, 0.661)
Ho (0.408, 0.408, 0.116)
Ho (0.473, 0.837, 0.243)
Ho (0.527, 0.163, 0.757)
Ho (0.592, 0.592, 0.884)
Ho (0.680, 0.066, 0.339)
Ho (0.837, 0.473, 0.243)
Ho (0.934, 0.320, 0.661)
Ho (0.942, 0.942, 0.666)
Er (0.198, 0.198, 0.011)
Er (0.268, 0.268, 0.426)
Er (0.500, 0.500, 0.500)
Er (0.732, 0.732, 0.574)
Er (0.802, 0.802, 0.989)


(11)
Dy3Ho2Er5: relaxed, PBE-GGA.

Summary:
ΔE to the lowest computed polymorph	0.00	eV/f.u.
total magnetization	0.00	μB per formula unit
DFT formation energy	0.204	eV per atom
DOS at the Fermi energy	18.5	states/eV/f.u.
uncorrected energy	-4.37	eV/atom

Lattice parameters (Å, degrees): 9.388 9.388 9.371 108.44 108.44 111.55
Positions (direct):
Dy (0.019, 0.269, 0.047)
Dy (0.231, 0.769, 0.750)
Dy (0.269, 0.019, 0.547)
Dy (0.731, 0.981, 0.453)
Dy (0.769, 0.231, 0.250)
Dy (0.981, 0.731, 0.953)
Ho (0.225, 0.467, 0.452)
Ho (0.467, 0.225, 0.952)
Ho (0.533, 0.775, 0.048)
Ho (0.775, 0.533, 0.548)
Er (0.024, 0.976, 0.750)
Er (0.142, 0.380, 0.772)
Er (0.273, 0.727, 0.250)
Er (0.380, 0.142, 0.272)
Er (0.473, 0.527, 0.250)
Er (0.527, 0.473, 0.750)
Er (0.620, 0.858, 0.728)
Er (0.727, 0.273, 0.750)
Er (0.858, 0.620, 0.228)
Er (0.976, 0.024, 0.250)


(12)
Dy4Ho2Er5: relaxed, PBE-GGA.

Summary:
ΔE to the lowest computed polymorph	0.00	eV/f.u.
total magnetization	0.00	μB per formula unit
DFT formation energy	0.060	eV per atom
DOS at the Fermi energy	17.2	states/eV/f.u.
uncorrected energy	-4.52	eV/atom

Lattice parameters (Å, degrees): 10.792 10.792 9.105 102.39 102.39 19.28
Positions (direct):
Dy (0.027, 0.027, 0.202)
Dy (0.329, 0.329, 0.583)
Dy (0.671, 0.671, 0.417)
Dy (0.973, 0.973, 0.798)
Ho (0.385, 0.385, 0.994)
Ho (0.615, 0.615, 0.006)
Er (0.118, 0.118, 0.696)
Er (0.249, 0.249, 0.170)
Er (0.500, 0.500, 0.500)
Er (0.751, 0.751, 0.830)
Er (0.882, 0.882, 0.304)